[1]
An optimized crystal structure of AlTl2Co. Source: Alexandria via LeMat-Bulk, functional PBE-GGA.

Summary:
energy above the lowest structure with this stoichiometry	0.006	eV per atom
theoretical density	9.47	g/cm³
energy of formation from the pure elements	155.5	meV per atom
energy	-3.74	eV/atom

a b c (Å): 2.966 3.935 14.871
angles (deg): 90.00 90.00 90.00
Space group Immm (No. 71)
Symmetry-distinct sites (fractional):
Al  0.000  0.000  0.000 x2
Tl  0.000  0.500  0.167 x4
Co  0.000  0.000  0.500 x2

---

[2]
An optimized crystal structure of AlTl2Co. Source: Alexandria via LeMat-Bulk, functional PBE-GGA.

Summary:
energy above the lowest structure with this stoichiometry	0.350	eV per atom
theoretical density	9.09	g/cm³
energy of formation from the pure elements	499.8	meV per atom
energy	-3.40	eV/atom

a b c (Å): 4.029 4.504 5.022
angles (deg): 90.00 97.43 90.00
Space group P2/m (No. 10)
Symmetry-distinct sites (fractional):
Al  0.000  0.000  0.000 x1
Tl  0.298  0.500  0.729 x2
Co  0.000  0.000  0.500 x1

---

[3]
An optimized crystal structure of AlTl2Co. Source: Alexandria via LeMat-Bulk, functional PBE-GGA.

Summary:
energy above the lowest structure with this stoichiometry	0.426	eV per atom
theoretical density	10.23	g/cm³
energy of formation from the pure elements	575.8	meV per atom
energy	-3.32	eV/atom

a b c (Å): 4.356 4.356 8.468
angles (deg): 90.00 90.00 90.00
Space group I4/mmm (No. 139)
Symmetry-distinct sites (fractional):
Al  0.000  0.000  0.000 x2
Tl  0.000  0.500  0.250 x4
Co  0.000  0.000  0.500 x2

---

[4]
An optimized crystal structure of Al2TlCo. Source: Alexandria via LeMat-Bulk, functional PBE-GGA.

Summary:
energy above the lowest structure with this stoichiometry	0.208	eV per atom
theoretical density	7.53	g/cm³
energy of formation from the pure elements	144.6	meV per atom
energy	-4.09	eV/atom

a b c (Å): 3.013 3.576 6.498
angles (deg): 90.00 90.00 90.00
Space group Pmm2 (No. 25)
Symmetry-distinct sites (fractional):
Al  0.000  0.000  0.000 x1
Al  0.500  0.500  0.248 x1
Tl  0.500  0.500  0.687 x1
Co  0.000  0.000  0.367 x1